# 1
First-principles (PBE) data for an optimized crystal structure of SrPa2PtS8, as listed in the Alexandria database.

abc: 6.292 6.292 7.848
angles: 90.00 90.00 120.00
Atoms (fractional coordinates):
S1 0.825 0.649 0.826
S2 0.649 0.825 0.174
S3 0.825 0.175 0.826
S4 0.333 0.667 0.578
S5 0.175 0.351 0.174
S6 0.175 0.825 0.174
S7 0.667 0.333 0.422
S8 0.351 0.175 0.826
Sr1 0.000 0.000 0.500
Pa1 0.667 0.333 0.111
Pa2 0.333 0.667 0.889
Pt1 0.000 0.000 0.000

Space-group type ... No. 164
ΔE_f (raw) ... -1.126 eV per atom

# 2
First-principles (PBE) data for an optimized crystal structure of Be2ZnAu6, as listed in the Alexandria database.

abc: 4.323 5.474 6.772
angles: 82.76 71.39 66.74
Atoms (fractional coordinates):
Au1 0.969 0.215 0.848
Au2 0.031 0.785 0.152
Au3 0.349 0.803 0.500
Au4 0.684 0.785 0.848
Au5 0.651 0.197 0.500
Au6 0.316 0.215 0.152
Be1 0.338 0.500 0.824
Be2 0.662 0.500 0.176
Zn1 0.000 0.500 0.500

ΔE_f ... -97.8 kJ/mol of formula units
DOS(E_F) ... 2.0 states/eV per cell
Space-group type ... No. 69

# 3
First-principles (PBE) data for an optimized crystal structure of CrGaCu2, as listed in the Alexandria database.

abc: 3.588 3.588 9.335
angles: 78.92 78.92 90.00
Last column: magnetic moment on the atom in μB.
Atoms (fractional coordinates):
Ga1 0.750 0.250 0.500  -0.10
Ga2 0.000 0.000 0.000  -0.10
Cu1 0.875 0.880 0.750  0.07
Cu2 0.375 0.370 0.750  0.07
Cu3 0.630 0.125 0.250  0.03
Cu4 0.120 0.625 0.250  0.03
Cr1 0.250 0.750 0.500  2.73
Cr2 0.500 0.500 0.000  2.71

ΔE_f ... 141.4 kJ/mol of formula units
DOS(E_F) ... 6.7 states/eV per cell
Space-group type ... No. 122

# 4
First-principles (PBE) data for an optimized crystal structure of La2Pm3Dy4, as listed in the Alexandria database.

abc: 3.628 3.628 26.931
angles: 90.00 90.00 120.00
Atoms (fractional coordinates):
La1 0.667 0.333 0.095
La2 0.667 0.333 0.867
Dy1 0.000 0.000 0.756
Dy2 0.667 0.333 0.222
Dy3 0.667 0.333 0.437
Dy4 0.000 0.000 0.541
Pm1 0.667 0.333 0.649
Pm2 0.000 0.000 0.984
Pm3 0.000 0.000 0.327

ΔE_f ... 51.4 kJ/mol of formula units
DOS(E_F) ... 16.5 states/eV per cell
Space-group type ... No. 156

# 5
First-principles (PBE) data for an optimized crystal structure of KYCo, as listed in the Alexandria database.

abc: 4.890 4.890 4.890
angles: 60.00 60.00 60.00
Atoms (fractional coordinates):
K1 0.000 0.000 0.000
Y1 0.500 0.500 0.500
Co1 0.750 0.750 0.750

ΔE_f ... 255.9 kJ/mol of formula units
DOS(E_F) ... 3.3 states/eV per cell
Space-group type ... No. 216

# 6
First-principles (PBE) data for an optimized crystal structure of KAl2Se, as listed in the Alexandria database.

abc: 9.409 9.409 9.409
angles: 22.69 22.69 22.69
Atoms (fractional coordinates):
Se1 0.750 0.750 0.750
Al1 0.021 0.021 0.021
Al2 0.479 0.479 0.479
K1 0.250 0.250 0.250

DOS(E_F) ... 1.9 states/eV per cell
Space-group type ... No. 166
ΔE_f (raw) ... -0.007 eV per atom

# 7
First-principles (PBE) data for an optimized crystal structure of InSnSb, as listed in the Alexandria database.

abc: 8.702 5.958 6.794
angles: 90.00 104.36 90.00
Atoms (fractional coordinates):
Sb1 0.352 0.500 0.747
Sb2 0.766 0.500 0.646
Sb3 0.766 0.000 0.146
Sb4 0.352 0.000 0.247
Sn1 0.018 0.500 0.417
Sn2 0.432 0.000 0.832
Sn3 0.018 0.000 0.917
Sn4 0.432 0.500 0.332
In1 0.096 0.000 0.492
In2 0.096 0.500 0.992
In3 0.686 0.500 0.067
In4 0.686 0.000 0.567

DOS(E_F) ... 3.9 states/eV per cell
Space-group type ... No. 8
ΔE_f (raw) ... 0.015 eV per atom

# 8
First-principles (PBE) data for an optimized crystal structure of TlTePdN2, as listed in the Alexandria database.

abc: 4.233 4.233 6.423
angles: 90.00 90.00 90.00
Last column: magnetic moment on the atom in μB.
Atoms (fractional coordinates):
Tl1 0.000 0.000 0.000  0.02
N1 0.500 0.000 0.000  1.07
N2 0.000 0.500 0.000  1.07
Te1 0.000 0.000 0.500  0.21
Pd1 0.500 0.500 0.500  0.25

DOS(E_F) ... 3.3 states/eV per cell
Space-group type ... No. 123
ΔE_f (raw) ... 1.824 eV per atom

no.,energy (eV/cell),calculated density (Mg/m³)
1,-73.2,6.18
2,-29.4,15.05
3,-38.8,7.14
4,-42.0,7.37
5,-12.0,3.75
6,-12.1,2.63
7,-43.3,6.92
8,-18.2,6.73